Computed, not measured: an optimized crystal structure of CdIn5 at the PBEsol level of DFT.

Properties
Electronic total energy (eV per atom): -2.674
SG: P4/mmm
Magnetic moment (μB per formula unit): 0.0
Calculated formation energy (meV/atom): 11

Cell lengths 3.3017, 3.3017, 13.5994 Å; angles 90.00, 90.00, 90.00 degrees
Positions (direct):
Cd (0.5000, 0.5000, 0.0000)
In (0.0000, 0.0000, 0.8427)
In (0.0000, 0.0000, 0.1573)
In (0.5000, 0.5000, 0.6709)
In (0.5000, 0.5000, 0.3291)
In (0.0000, 0.0000, 0.5000)

Computed, not measured: an optimized crystal structure of Y4Ru at the PBEsol level of DFT.

Properties
Electronic total energy (eV per atom): -7.285
SG: Im-3m
Magnetic moment (μB per formula unit): 0.0
Calculated formation energy (meV/atom): 207

Cell lengths 5.7103, 5.7103, 5.7103 Å; angles 109.47, 109.47, 109.47 degrees
Positions (direct):
Ru (0.0000, 0.0000, 0.0000)
Y (0.0000, 0.0000, 0.5000)
Y (0.0000, 0.5000, 0.0000)
Y (0.5000, 0.0000, 0.0000)
Y (0.5000, 0.5000, 0.5000)

Computed, not measured: an optimized crystal structure of Sc2NiHg at the PBEsol level of DFT.

Properties
Electronic total energy (eV per atom): -5.309
SG: F-43m
Magnetic moment (μB per formula unit): 0.0
Calculated formation energy (meV/atom): -326

Cell lengths 4.5702, 4.5702, 4.5702 Å; angles 60.00, 60.00, 60.00 degrees
Positions (direct):
Hg (0.5000, 0.5000, 0.5000)
Ni (0.2500, 0.2500, 0.2500)
Sc (0.0000, 0.0000, 0.0000)
Sc (0.7500, 0.7500, 0.7500)

Computed, not measured: an optimized crystal structure of Ba2NaIr at the PBEsol level of DFT.

Properties
Electronic total energy (eV per atom): -3.757
SG: Fm-3m
Magnetic moment (μB per formula unit): 0.0
Calculated formation energy (meV/atom): 123

Cell lengths 5.5001, 5.5001, 5.5001 Å; angles 60.00, 60.00, 60.00 degrees
Positions (direct):
Na (0.0000, 0.0000, 0.0000)
Ir (0.5000, 0.5000, 0.5000)
Ba (0.2500, 0.2500, 0.2500)
Ba (0.7500, 0.7500, 0.7500)

Computed, not measured: an optimized crystal structure of BaPb2IF5 at the PBEsol level of DFT.

Properties
E_form (uncorrected) (eV/atom): -2.59
Electronic total energy (eV per atom): -4.987
SG: P4/nmm
Magnetic moment (μB per formula unit): 0.0

Cell lengths 5.9867, 5.9867, 9.8997 Å; angles 90.00, 90.00, 90.00 degrees
Positions (direct):
Ba (0.0000, 0.0000, 0.0000)
Ba (0.5000, 0.5000, 0.0000)
F (0.5000, 0.0000, 0.0352)
F (0.0000, 0.5000, 0.9648)
F (0.2643, 0.2357, 0.8191)
F (0.7357, 0.7643, 0.8191)
F (0.2643, 0.7643, 0.8191)
F (0.7357, 0.2357, 0.8191)
F (0.2357, 0.7357, 0.1809)
F (0.7643, 0.2643, 0.1809)
F (0.2357, 0.2643, 0.1809)
F (0.7643, 0.7357, 0.1809)
I (0.0000, 0.0000, 0.5000)
I (0.5000, 0.5000, 0.5000)
Pb (0.5000, 0.0000, 0.2678)
Pb (0.0000, 0.5000, 0.7322)
Pb (0.5000, 0.0000, 0.6893)
Pb (0.0000, 0.5000, 0.3107)

Computed, not measured: an optimized crystal structure of SrMnCu2 at the PBEsol level of DFT.

Properties
Electronic total energy (eV per atom): -4.745
SG: P4/mmm
Magnetic moment (μB per formula unit): 4.0
Calculated formation energy (meV/atom): 322

Cell lengths 3.2513, 3.2513, 6.7675 Å; angles 90.00, 90.00, 90.00 degrees
Last column: magnetic moment on the atom in μB.
Positions (direct):
Cu (0.0000, 0.0000, 0.8214)  0.10
Cu (0.0000, 0.0000, 0.1786)  0.10
Mn (0.5000, 0.5000, 0.0000)  3.70
Sr (0.5000, 0.5000, 0.5000)  0.01